Entry 1:
VASP calculation (GGA-PBE) on a relaxed structure of CrNiTe.

Computed properties:
ΔE to the lowest computed polymorph in meV/atom: 175
Total DFT energy (no corrections) in eV/atom: -5.972

Unit cell a=3.8315 b=3.8307 c=8.7594 alpha=90.00 beta=90.00 gamma=120.01
Site moments in Bohr magnetons follow the coordinates.
Fractional positions:
Cr1 0.6112 0.2224 0.0000  2.71
Cr2 0.2777 0.5553 0.5000  3.26
Te1 0.6111 0.2222 0.3017  -0.15
Te2 0.6111 0.2222 0.6983  -0.15
Ni1 0.2778 0.5556 0.8571  -0.12
Ni2 0.2778 0.5556 0.1429  -0.12

***

Entry 2:
VASP calculation (GGA-PBE) on a relaxed structure of CrNiTe.

Computed properties:
ΔE to the lowest computed polymorph in meV/atom: 220
Total DFT energy (no corrections) in eV/atom: -5.928

Unit cell a=4.6454 b=4.6454 c=3.5649 alpha=67.44 beta=67.44 gamma=45.13
Site moments in Bohr magnetons follow the coordinates.
Fractional positions:
Te1 0.6613 0.6613 0.3387  -0.10
Cr1 0.9977 0.9977 0.0023  3.10
Ni1 0.3410 0.3410 0.6590  0.26

***

Entry 3:
VASP calculation (GGA-PBE) on a relaxed structure of CrNiTe.

Computed properties:
ΔE to the lowest computed polymorph in meV/atom: 180
Total DFT energy (no corrections) in eV/atom: -5.968

Unit cell a=4.1346 b=4.1346 c=3.5912 alpha=90.00 beta=90.00 gamma=120.00
Site moments in Bohr magnetons follow the coordinates.
Fractional positions:
Te1 0.3333 0.6667 0.5576  -0.10
Cr1 0.0000 0.0000 0.0185  3.51
Ni1 0.6667 0.3333 0.4239  -0.04

***

Entry 4:
VASP calculation (GGA-PBE) on a relaxed structure of CrNi2Te.

Computed properties:
Total DFT energy (no corrections) in eV/atom: -5.576

Unit cell a=7.9930 b=7.9930 c=7.9930 alpha=21.84 beta=21.84 gamma=21.84
Site moments in Bohr magnetons follow the coordinates.
Fractional positions:
Te1 0.2500 0.2500 0.2500  -0.01
Ni1 0.0062 0.0062 0.0062  0.20
Ni2 0.4938 0.4938 0.4938  0.20
Cr1 0.7500 0.7500 0.7500  2.35

***

Taking the records one at a time from the top gives M_tot values of 0.9676; 1.1738; 1.2141; 0.7202 μB per atom.
Taking the records one at a time from the top gives ΔE_f (raw) values of 210; 255; 214; 506 meV/atom.
Taking the records one at a time from the top gives density of states at the Fermi level values of 3.60; 2.25; 0.82; 5.62 states/eV/f.u..